# 1
Density functional theory data (PBE-GGA) for crystalline RbBSb2Te at its relaxed geometry.

Values from the calculation:
Crystal system: tetragonal
Symmetry: No. 123
Calculated volume, Å³ per cell: 231.1
Excess energy over the best structure of this formula in the dataset, eV/atom: 1.6750

a = 6.1056 Å, b = 6.1056 Å, c = 6.1996 Å
α = 90.00°, β = 90.00°, γ = 90.00°
Positions (direct):
Rb 0.0000 0.0000 0.0000
B 0.5000 0.5000 0.5000
Sb 0.0000 0.5000 0.0000
Sb 0.5000 0.0000 0.0000
Te 0.0000 0.0000 0.5000

=====

# 2
Density functional theory data (PBE-GGA) for crystalline FeSi2Pt at its relaxed geometry.

Values from the calculation:
Crystal system: monoclinic
Symmetry: No. 10
Calculated volume, Å³ per cell: 54.7

a = 2.7365 Å, b = 3.6489 Å, c = 5.4823 Å
α = 90.00°, β = 90.12°, γ = 90.00°
Positions (direct):
Fe 0.0000 0.0000 0.0000
Si 0.4992 0.5000 0.7876
Si 0.5008 0.5000 0.2124
Pt 0.5000 0.0000 0.5000

=====

Number 1: formation energy from raw total energies 2163 meV per atom, density of states at the Fermi level 6.88 states/eV/f.u., E_tot -0.121 Ry per atom. Number 2: formation energy from raw total energies -206 meV per atom, density of states at the Fermi level 2.42 states/eV/f.u., E_tot -0.481 Ry per atom.